Below is a relaxed Pr2SmWO8 crystal, with properties calculated at the PBE with a Hubbard U level.

POSCAR file:
```
Pr2SmWO8
1.0
5.2489 0.0000 0.0000
0.0000 7.0614 0.0000
-0.0592 0.0000 5.2491
Pr Sm W O
2 1 1 8
Direct
0.0000 0.2472 0.0000
0.0000 0.7528 0.0000
0.5000 0.5000 0.5000
0.5000 0.0000 0.5000
0.1961 0.5000 0.1938
0.2375 0.0000 0.2347
0.3220 0.2064 0.6757
0.3220 0.7936 0.6757
0.6780 0.2064 0.3243
0.6780 0.7936 0.3243
0.7625 0.0000 0.7653
0.8039 0.5000 0.8062
```

Calculated values
- Magnetization: 1.01 Bohr magnetons per cell
- DOS(E_F): 6.82 states/eV per cell
- DFT total energy: -7.799 eV/atom
- Crystal system: monoclinic